This record from Alexandria describes a geometry-optimized TaSbRh2I structure. The functional is PBE-GGA.

Cell lengths 4.8265, 5.4941, 4.8265 Å; angles 90.00, 90.00, 90.00 degrees
Last column: nearest neighbours and their distance in Å.
Element x y z (fractional)
Rh1 0.5000 0.0000 0.0000  2 Ta 2.41
Rh2 0.0000 0.0000 0.5000  2 Ta 2.41
Ta1 0.0000 0.0000 0.0000  4 Rh 2.41
Sb1 0.0000 0.5000 0.0000  2 Ta 2.75
I1 0.5000 0.5000 0.5000  4 Sb 3.41, 8 Rh 3.66

Output
Final energy, eV per atom: -5.56
ρ, kg/m3: 8244
Fermi-level density of states, states/eV/atom: 0.8182
Formation energy from raw total energies, eV/atom: 0.89
Symmetry: P4/mmm, No. 123